Entry 1:
Here is a PBEsol-optimized structure of ZnTcAu2 from Alexandria. Energies are from SCAN.

Structure (POSCAR):
```
ZnTcAu2
1.0
9.205 0.000 0.000
0.000 2.695 0.000
-0.788 0.000 4.971
Zn Tc Au
2 2 4
direct
0.000 0.000 0.000
0.500 0.500 0.000
0.000 0.500 0.500
0.500 0.000 0.500
0.250 0.000 0.750
0.250 0.500 0.250
0.750 0.000 0.250
0.750 0.500 0.750
```

total DFT energy (no corrections): -46.50 eV per atom
energy relative to the elements: 0.22 eV/atom
size of the total moment: 0.000 μB per atom

=====

Entry 2:
Here is a PBEsol-optimized structure of ZrTcAu2 from Alexandria. Energies are from SCAN.

Structure (POSCAR):
```
ZrTcAu2
1.0
6.488 0.000 0.000
0.000 6.488 0.000
0.000 0.000 6.488
Zr Tc Au
4 4 8
direct
0.000 0.000 0.000
0.000 0.500 0.500
0.500 0.000 0.500
0.500 0.500 0.000
0.250 0.250 0.750
0.250 0.750 0.250
0.750 0.250 0.250
0.750 0.750 0.750
0.000 0.000 0.500
0.000 0.500 0.000
0.250 0.250 0.250
0.250 0.750 0.750
0.500 0.000 0.000
0.500 0.500 0.500
0.750 0.250 0.750
0.750 0.750 0.250
```

total DFT energy (no corrections): -51.12 eV per atom
energy relative to the elements: -0.10 eV/atom
size of the total moment: 0.213 μB per atom

=====

Entry 3:
Here is a PBEsol-optimized structure of ZrTc2Au from Alexandria. Energies are from SCAN.

Structure (POSCAR):
```
ZrTc2Au
1.0
6.375 0.000 0.000
0.000 6.375 0.000
0.000 0.000 6.375
Zr Tc Au
4 8 4
direct
0.000 0.000 0.000
0.000 0.500 0.500
0.500 0.000 0.500
0.500 0.500 0.000
0.250 0.250 0.250
0.250 0.250 0.750
0.250 0.750 0.250
0.250 0.750 0.750
0.750 0.250 0.250
0.750 0.250 0.750
0.750 0.750 0.250
0.750 0.750 0.750
0.000 0.000 0.500
0.000 0.500 0.000
0.500 0.000 0.000
0.500 0.500 0.500
```

total DFT energy (no corrections): -42.31 eV per atom
energy relative to the elements: 0.18 eV/atom
size of the total moment: 0.000 μB per atom

=====

Entry 4:
Here is a PBEsol-optimized structure of Zr2TcAu from Alexandria. Energies are from SCAN.

Structure (POSCAR):
```
Zr2TcAu
1.0
3.300 0.000 0.000
0.000 3.300 0.000
0.000 0.000 6.679
Zr Tc Au
2 1 1
direct
0.000 0.000 0.233
0.000 0.000 0.767
0.500 0.500 0.000
0.500 0.500 0.500
```

total DFT energy (no corrections): -42.07 eV per atom
energy relative to the elements: -0.67 eV/atom
size of the total moment: 0.000 μB per atom

=====

Entry 5:
Here is a PBEsol-optimized structure of ZrTcAu from Alexandria. Energies are from SCAN.

Structure (POSCAR):
```
ZrTcAu
1.0
3.464 0.000 0.000
0.000 4.513 0.000
0.000 0.000 13.070
Zr Tc Au
4 4 4
direct
0.000 0.000 0.000
0.000 0.500 0.500
0.500 0.000 0.500
0.500 0.500 0.000
0.000 0.000 0.657
0.000 0.500 0.157
0.500 0.000 0.157
0.500 0.500 0.657
0.000 0.000 0.324
0.000 0.500 0.824
0.500 0.000 0.824
0.500 0.500 0.324
```

total DFT energy (no corrections): -45.06 eV per atom
energy above the most stable polymorph in this dataset: 0 meV/atom
energy relative to the elements: -0.09 eV/atom
size of the total moment: 0.000 μB per atom

=====

Entry 6:
Here is a PBEsol-optimized structure of ZrTcAu from Alexandria. Energies are from SCAN.

Structure (POSCAR):
```
ZrTcAu
1.0
6.222 0.000 0.000
0.000 6.222 0.000
0.000 0.000 6.222
Zr Tc Au
4 4 4
direct
0.000 0.000 0.000
0.000 0.500 0.500
0.500 0.000 0.500
0.500 0.500 0.000
0.250 0.250 0.250
0.250 0.750 0.750
0.750 0.250 0.750
0.750 0.750 0.250
0.000 0.000 0.500
0.000 0.500 0.000
0.500 0.000 0.000
0.500 0.500 0.500
```

total DFT energy (no corrections): -44.66 eV per atom
energy above the most stable polymorph in this dataset: 406 meV/atom
energy relative to the elements: 0.31 eV/atom
size of the total moment: 0.544 μB per atom

=====

Entry 7:
Here is a PBEsol-optimized structure of Te2Au3 from Alexandria. Energies are from SCAN.

Structure (POSCAR):
```
Te2Au3
1.0
4.052 0.000 0.000
-2.026 3.509 0.000
0.000 0.000 23.471
Te Au
6 9
direct
0.000 0.000 0.096
0.000 0.000 0.904
0.333 0.667 0.570
0.333 0.667 0.763
0.667 0.333 0.237
0.667 0.333 0.430
0.000 0.000 0.303
0.000 0.000 0.500
0.000 0.000 0.697
0.333 0.667 0.167
0.333 0.667 0.364
0.333 0.667 0.969
0.667 0.333 0.031
0.667 0.333 0.636
0.667 0.333 0.833
```

total DFT energy (no corrections): -56.49 eV per atom
formation energy (no corrections): -0.091 eV/atom
size of the total moment: 0.000 μB per atom

=====

Entry 8:
Here is a PBEsol-optimized structure of Te3Au from Alexandria. Energies are from SCAN.

Structure (POSCAR):
```
Te3Au
1.0
3.060 0.000 0.000
0.000 3.997 0.000
0.000 0.000 8.254
Te Au
3 1
direct
0.000 0.000 0.000
0.500 0.500 0.287
0.500 0.500 0.713
0.000 0.000 0.500
```

total DFT energy (no corrections): -44.86 eV per atom
formation energy (no corrections): 0.371 eV/atom
size of the total moment: 0.000 μB per atom

=====

Entry 9:
Here is a PBEsol-optimized structure of Te5Au from Alexandria. Energies are from SCAN.

Structure (POSCAR):
```
Te5Au
1.0
7.263 0.000 0.000
0.000 4.220 0.000
-0.019 0.000 11.021
Te Au
10 2
direct
0.000 0.000 0.000
0.178 0.500 0.177
0.181 0.500 0.633
0.319 0.000 0.367
0.322 0.000 0.823
0.500 0.500 0.000
0.678 0.000 0.177
0.681 0.000 0.633
0.819 0.500 0.367
0.822 0.500 0.823
0.000 0.000 0.500
0.500 0.500 0.500
```

total DFT energy (no corrections): -42.62 eV per atom
formation energy (no corrections): -0.054 eV/atom
size of the total moment: 0.000 μB per atom

=====

Entry 10:
Here is a PBEsol-optimized structure of TeAu from Alexandria. Energies are from SCAN.

Structure (POSCAR):
```
TeAu
1.0
5.641 0.000 0.000
0.000 7.039 0.000
0.000 0.000 4.665
Te Au
4 4
direct
0.000 0.175 0.250
0.000 0.825 0.750
0.500 0.325 0.750
0.500 0.675 0.250
0.000 0.388 0.750
0.000 0.612 0.250
0.500 0.112 0.250
0.500 0.888 0.750
```

total DFT energy (no corrections): -53.31 eV per atom
formation energy (no corrections): -0.105 eV/atom
size of the total moment: 0.000 μB per atom

=====

Entry 11:
Here is a PBEsol-optimized structure of Te3Au from Alexandria. Energies are from SCAN.

Structure (POSCAR):
```
Te3Au
1.0
4.635 0.000 0.000
0.000 4.635 0.000
0.000 0.000 4.635
Te Au
3 1
direct
0.000 0.000 0.500
0.000 0.500 0.000
0.500 0.000 0.000
0.500 0.500 0.500
```

total DFT energy (no corrections): -44.72 eV per atom
formation energy (no corrections): 0.505 eV/atom
size of the total moment: 0.000 μB per atom

=====

Entry 12:
Here is a PBEsol-optimized structure of Te3Au from Alexandria. Energies are from SCAN.

Structure (POSCAR):
```
Te3Au
1.0
5.930 0.000 0.000
0.000 8.608 0.000
0.000 0.000 4.139
Te Au
6 2
direct
0.000 0.000 0.000
0.000 0.281 0.500
0.000 0.719 0.500
0.500 0.219 0.500
0.500 0.500 0.000
0.500 0.781 0.500
0.000 0.500 0.000
0.500 0.000 0.000
```

total DFT energy (no corrections): -45.31 eV per atom
formation energy (no corrections): -0.083 eV/atom
size of the total moment: 0.000 μB per atom

=====

Entry 13:
Here is a PBEsol-optimized structure of TeAu from Alexandria. Energies are from SCAN.

Structure (POSCAR):
```
TeAu
1.0
6.153 0.000 0.000
0.000 6.153 0.000
0.000 0.000 6.153
Te Au
4 4
direct
0.000 0.000 0.000
0.000 0.500 0.500
0.500 0.000 0.500
0.500 0.500 0.000
0.250 0.250 0.750
0.250 0.750 0.250
0.750 0.250 0.250
0.750 0.750 0.750
```

total DFT energy (no corrections): -53.32 eV per atom
formation energy (no corrections): -0.119 eV/atom
size of the total moment: 0.000 μB per atom

=====

Entry 14:
Here is a PBEsol-optimized structure of Te3Au from Alexandria. Energies are from SCAN.

Structure (POSCAR):
```
Te3Au
1.0
4.137 0.000 0.000
-2.069 3.583 0.000
0.000 0.000 21.510
Te Au
9 3
direct
0.000 0.000 0.000
0.000 0.000 0.236
0.000 0.000 0.764
0.333 0.667 0.430
0.333 0.667 0.667
0.333 0.667 0.903
0.667 0.333 0.097
0.667 0.333 0.333
0.667 0.333 0.570
0.000 0.000 0.500
0.333 0.667 0.167
0.667 0.333 0.833
```

total DFT energy (no corrections): -45.32 eV per atom
formation energy (no corrections): -0.088 eV/atom
size of the total moment: 0.000 μB per atom

=====

Entry 15:
Here is a PBEsol-optimized structure of TeAu5 from Alexandria. Energies are from SCAN.

Structure (POSCAR):
```
TeAu5
1.0
4.110 0.000 0.000
0.000 12.894 0.000
0.000 0.000 4.160
Te Au
2 10
direct
0.000 0.000 0.000
0.500 0.500 0.000
0.000 0.172 0.500
0.000 0.328 0.000
0.000 0.500 0.500
0.000 0.672 0.000
0.000 0.828 0.500
0.500 0.000 0.500
0.500 0.172 0.000
0.500 0.328 0.500
0.500 0.672 0.500
0.500 0.828 0.000
```

total DFT energy (no corrections): -63.73 eV per atom
formation energy (no corrections): 0.109 eV/atom
size of the total moment: 0.000 μB per atom

=====

Entry 16:
Here is a PBEsol-optimized structure of Te8Au from Alexandria. Energies are from SCAN.

Structure (POSCAR):
```
Te8Au
1.0
-4.393 4.393 3.769
4.393 -4.393 3.769
4.393 4.393 -3.769
Te Au
8 1
direct
0.000 0.306 0.306
0.000 0.694 0.694
0.306 0.000 0.306
0.332 0.332 0.664
0.332 0.668 0.000
0.668 0.332 0.000
0.668 0.668 0.336
0.694 0.000 0.694
0.000 0.000 0.000
```

total DFT energy (no corrections): -40.68 eV per atom
formation energy (no corrections): 0.119 eV/atom
size of the total moment: 0.000 μB per atom

=====

Entry 17:
Here is a PBEsol-optimized structure of Te3Au from Alexandria. Energies are from SCAN.

Structure (POSCAR):
```
Te3Au
1.0
3.855 0.000 0.000
0.000 3.926 0.000
0.000 0.000 7.015
Te Au
3 1
direct
0.000 0.000 0.000
0.000 0.500 0.350
0.500 0.500 0.778
0.500 0.000 0.482
```

total DFT energy (no corrections): -45.09 eV per atom
formation energy (no corrections): 0.137 eV/atom
size of the total moment: 0.000 μB per atom

=====

Entry 18:
Here is a PBEsol-optimized structure of Te3Au from Alexandria. Energies are from SCAN.

Structure (POSCAR):
```
Te3Au
1.0
3.079 0.000 0.000
0.000 3.079 0.000
0.000 0.000 12.203
Te Au
3 1
direct
0.000 0.000 0.000
0.000 0.000 0.285
0.000 0.000 0.715
0.000 0.000 0.500
```

total DFT energy (no corrections): -45.25 eV per atom
formation energy (no corrections): -0.020 eV/atom
size of the total moment: 0.000 μB per atom

=====

Entry 19:
Here is a PBEsol-optimized structure of Te3Au from Alexandria. Energies are from SCAN.

Structure (POSCAR):
```
Te3Au
1.0
3.814 0.000 0.000
0.000 5.756 0.000
0.000 0.000 9.323
Te Au
6 2
direct
0.000 0.000 0.000
0.000 0.500 0.289
0.000 0.500 0.711
0.500 0.000 0.289
0.500 0.000 0.711
0.500 0.500 0.000
0.000 0.000 0.500
0.500 0.500 0.500
```

total DFT energy (no corrections): -45.02 eV per atom
formation energy (no corrections): 0.207 eV/atom
size of the total moment: 0.000 μB per atom

=====

Entry 20:
Here is a PBEsol-optimized structure of TiTe3Au from Alexandria. Energies are from SCAN.

Structure (POSCAR):
```
TiTe3Au
1.0
5.186 0.000 0.000
0.000 5.186 0.000
0.000 0.000 5.186
Ti Te Au
1 3 1
direct
0.000 0.000 0.000
0.000 0.000 0.500
0.000 0.500 0.000
0.500 0.000 0.000
0.500 0.500 0.500
```

total DFT energy (no corrections): -39.13 eV per atom
formation energy (no corrections): 0.263 eV/atom
energy above the most stable polymorph in this dataset: 0 meV/atom
size of the total moment: 0.000 μB per atom